# MgInIr2, relaxed, DFT PBE
data_MgInIr2
_space_group_name_H-M_alt 'P 4/m m m'
_space_group_IT_number 123
_space_group_name_Hall '-P 4 2'
_cell_length_a 4.4738
_cell_length_b 4.4738
_cell_length_c 3.2342
_cell_angle_alpha 90.00
_cell_angle_beta 90.00
_cell_angle_gamma 90.00
loop_
_atom_site_label
_atom_site_fract_x
_atom_site_fract_y
_atom_site_fract_z
_atom_site_occupancy
Mg1 0.0000 0.0000 0.0000 1
In1 0.5000 0.5000 0.0000 1
Ir1 0.0000 0.5000 0.5000 1
# ΔE to the lowest computed polymorph = 0.007 eV/atom

---

The following is a PBE calculation of a relaxed MgInIr crystal, from the Alexandria database.

The structure in CIF format:
```
data_MgInIr
_space_group_name_H-M_alt 'P 3 m 1'
_space_group_IT_number 156
_cell_length_a 4.5147
_cell_length_b 4.5147
_cell_length_c 3.0289
_cell_angle_alpha 90.00
_cell_angle_beta 90.00
_cell_angle_gamma 120.00
loop_
_space_group_symop_operation_xyz
'x,y,z'
'-y,x-y,z'
'-x+y,-x,z'
'-y,-x,z'
'-x+y,y,z'
'x,x-y,z'
loop_
_atom_site_label
_atom_site_fract_x
_atom_site_fract_y
_atom_site_fract_z
_atom_site_occupancy
Mg1 0.0000 0.0000 0.0000 1
In1 0.3333 0.6667 0.3993 1
Ir1 0.6667 0.3333 0.7032 1
```

---

# Mg6InIr, relaxed, DFT PBE
data_Mg6InIr
_space_group_name_H-M_alt 'C m m m'
_space_group_IT_number 65
_space_group_name_Hall '-C 2 2'
_cell_length_a 8.3362
_cell_length_b 12.2587
_cell_length_c 12.5053
_cell_angle_alpha 90.00
_cell_angle_beta 90.00
_cell_angle_gamma 90.00
loop_
_atom_site_label
_atom_site_fract_x
_atom_site_fract_y
_atom_site_fract_z
_atom_site_occupancy
Mg1 0.0000 0.0000 0.0000 1
Mg2 0.0000 0.0000 0.5000 1
Mg3 0.0000 0.2492 0.2283 1
Mg4 0.0000 0.5000 0.0000 1
Mg5 0.0000 0.5000 0.5000 1
Mg6 0.2242 0.3783 0.3608 1
Mg7 0.2338 0.3713 0.1148 1
In1 0.0000 0.0000 0.2481 1
In2 0.0000 0.2373 0.5000 1
Ir1 0.0000 0.2385 0.0000 1
Ir2 0.0000 0.5000 0.2416 1
# ΔE to the lowest computed polymorph = 0.000 eV/atom

---

The following is a PBE calculation of a relaxed Mg3In3Ir crystal, from the Alexandria database.

The structure in CIF format:
```
data_Mg3In3Ir
_space_group_name_H-M_alt 'P 63/m m c'
_space_group_IT_number 194
_space_group_name_Hall '-P 6c 2c'
_cell_length_a 8.7928
_cell_length_b 8.7928
_cell_length_c 4.4667
_cell_angle_alpha 90.00
_cell_angle_beta 90.00
_cell_angle_gamma 120.00
loop_
_atom_site_label
_atom_site_fract_x
_atom_site_fract_y
_atom_site_fract_z
_atom_site_occupancy
Mg1 0.1157 0.5579 0.2500 1
In1 0.1490 0.2980 0.7500 1
Ir1 0.3333 0.6667 0.7500 1
```

---

# MgIn3Ir, relaxed, DFT PBE
data_MgIn3Ir
_space_group_name_H-M_alt 'C m c m'
_space_group_IT_number 63
_space_group_name_Hall '-C 2c 2'
_cell_length_a 4.2630
_cell_length_b 9.3885
_cell_length_c 10.8281
_cell_angle_alpha 90.00
_cell_angle_beta 90.00
_cell_angle_gamma 90.00
loop_
_atom_site_label
_atom_site_fract_x
_atom_site_fract_y
_atom_site_fract_z
_atom_site_occupancy
Mg1 0.0000 0.0000 0.0000 1
In1 0.0000 0.3099 0.1043 1
In2 0.0000 0.3844 0.7500 1
Ir1 0.0000 0.0798 0.7500 1
# ΔE to the lowest computed polymorph = 0.000 eV/atom

---

The following is a PBE calculation of a relaxed Mg4In3Ir crystal, from the Alexandria database.

The structure in CIF format:
```
data_Mg4In3Ir
_space_group_name_H-M_alt 'P 4/m m m'
_space_group_IT_number 123
_space_group_name_Hall '-P 4 2'
_cell_length_a 3.2198
_cell_length_b 3.2198
_cell_length_c 16.2954
_cell_angle_alpha 90.00
_cell_angle_beta 90.00
_cell_angle_gamma 90.00
loop_
_atom_site_label
_atom_site_fract_x
_atom_site_fract_y
_atom_site_fract_z
_atom_site_occupancy
Mg1 0.0000 0.0000 0.0896 1
Mg2 0.0000 0.0000 0.3619 1
In1 0.5000 0.5000 0.2278 1
In2 0.5000 0.5000 0.5000 1
Ir1 0.5000 0.5000 0.0000 1
```

---

Number 1: VASP energy -0.2115 Ha/atom, DOS at the Fermi energy 0.288 states/eV per atom. Number 2: VASP energy -0.1668 Ha/atom, DOS at the Fermi energy 0.217 states/eV per atom. Number 3: VASP energy -0.1023 Ha/atom, DOS at the Fermi energy 0.408 states/eV per atom. Number 4: VASP energy -0.1216 Ha/atom, DOS at the Fermi energy 0.565 states/eV per atom. Number 5: VASP energy -0.1409 Ha/atom, DOS at the Fermi energy 0.310 states/eV per atom. Number 6: VASP energy -0.1139 Ha/atom, DOS at the Fermi energy 0.384 states/eV per atom.